Entry 1:
The following is a PBE calculation of a relaxed VAgPd2 crystal, from the Alexandria database.

Output
**Space group**: No. 122
**Energy**: -5.30 eV/atom

Unit cell a=7.0466 b=7.0466 c=5.6963 alpha=51.79 beta=51.79 gamma=90.00
Element x y z (fractional)
Ag  0.0000  0.0000  0.0000
Ag  0.7500  0.2500  0.5000
Pd  0.5941  0.1250  0.2500
Pd  0.1559  0.6250  0.2500
Pd  0.3750  0.4059  0.7500
Pd  0.8750  0.8441  0.7500
V  0.5000  0.5000  0.0000
V  0.2500  0.7500  0.5000

=====

Entry 2:
The following is a PBE calculation of a relaxed VAgPd3 crystal, from the Alexandria database.

Output
**Space group**: No. 221
**Energy**: -4.87 eV/atom

Unit cell a=4.6011 b=4.6011 c=4.6011 alpha=90.00 beta=90.00 gamma=90.00
Element x y z (fractional)
Ag  0.5000  0.5000  0.5000
Pd  0.0000  0.5000  0.0000
Pd  0.0000  0.0000  0.5000
Pd  0.5000  0.0000  0.0000
V  0.0000  0.0000  0.0000

=====

Result set for E above lowest polymorph: 0.4495; 0.0000 eV/atom, one per record in the order listed.
Result set for theoretical density: 9.0; 8.1 g/cm³, one per record in the order listed.
Result set for formation energy from the elements: 0.287; 0.642 eV/atom, one per record in the order listed.